Entry 1:
Material: NpFe2C3
Method: DFT, GGA-PBE
State: relaxed

Summary:
energy = -9.430 eV/atom
DFT formation energy = 160 meV/atom
space group = No. 63
N(E_F) = 1.64 states/eV per atom

Cell lengths 4.7729, 6.4573, 5.4610 Å; angles 126.24, 90.00, 90.00 degrees
Last column: nearest neighbours and their distance in Å.
Atoms (fractional coordinates):
Fe1 0.5000 0.8115 0.0000  4 C 1.90
Fe2 0.0000 0.1885 0.0000  4 C 1.90
Fe3 0.0000 0.8115 0.0000  4 C 1.90
Fe4 0.5000 0.1885 0.0000  4 C 1.90
C1 0.7500 0.6861 0.1561  1 C 1.40
C2 0.7500 0.9058 0.8116  4 Fe 1.90
C3 0.7500 0.4700 0.1561  1 C 1.40
C4 0.2500 0.5300 0.8439  1 C 1.40
C5 0.2500 0.3139 0.8439  1 C 1.40
C6 0.2500 0.0942 0.1884  4 Fe 1.90
Np1 0.2500 0.7111 0.4221  8 C 2.64-2.94
Np2 0.7500 0.2889 0.5779  8 C 2.64-2.94

Entry 2:
Material: Np3FeC3
Method: DFT, GGA-PBE
State: relaxed

Summary:
energy = -10.558 eV/atom
DFT formation energy = 150 meV/atom
space group = No. 176
N(E_F) = 2.08 states/eV per atom

Cell lengths 4.8596, 7.1203, 7.1203 Å; angles 120.00, 90.00, 90.00 degrees
Last column: nearest neighbours and their distance in Å.
Atoms (fractional coordinates):
C1 0.7500 0.6079 0.9229  1 Fe 1.89
C2 0.2500 0.3921 0.0771  1 Fe 1.89
C3 0.7500 0.3150 0.3921  1 Fe 1.89
C4 0.2500 0.6850 0.6079  1 Fe 1.89
C5 0.7500 0.0771 0.6850  1 Fe 1.89
C6 0.2500 0.9229 0.3150  1 Fe 1.89
Np1 0.2500 0.2830 0.3692  5 C 2.39-2.56
Np2 0.2500 0.6308 0.9138  5 C 2.39-2.56
Np3 0.7500 0.3692 0.0862  5 C 2.39-2.56
Np4 0.7500 0.7170 0.6308  5 C 2.39-2.56
Np5 0.7500 0.9138 0.2830  5 C 2.39-2.56
Np6 0.2500 0.0862 0.7170  5 C 2.39-2.56
Fe1 0.7500 0.3333 0.6667  3 C 1.89
Fe2 0.2500 0.6667 0.3333  3 C 1.89

Entry 3:
Material: NpFeC
Method: DFT, GGA-PBE
State: relaxed

Summary:
energy = -10.076 eV/atom
energy above the lowest structure with this stoichiometry = 0.01 eV per formula unit
DFT formation energy = 133 meV/atom
space group = No. 186
N(E_F) = 1.25 states/eV per atom

Cell lengths 3.1126, 3.1126, 9.3913 Å; angles 90.00, 90.00, 120.00 degrees
Last column: nearest neighbours and their distance in Å.
Atoms (fractional coordinates):
Np1 0.6667 0.3333 0.7747  3 C 2.51
Np2 0.3333 0.6667 0.2747  3 C 2.51
Fe1 0.0000 0.0000 0.0274  3 C 1.89
Fe2 0.0000 0.0000 0.5274  3 C 1.89
C1 0.3333 0.6667 0.5885  3 Fe 1.89
C2 0.6667 0.3333 0.0885  3 Fe 1.89

Entry 4:
Material: NpFeC2
Method: DFT, GGA-PBE
State: relaxed

Summary:
energy = -9.711 eV/atom
DFT formation energy = 252 meV/atom
space group = No. 166
N(E_F) = 0.90 states/eV per atom

Cell lengths 3.2545, 3.2545, 5.1275 Å; angles 71.50, 71.50, 60.00 degrees
Last column: nearest neighbours and their distance in Å.
Atoms (fractional coordinates):
Np1 0.5000 0.5000 0.5000  6 C 2.38
C1 0.2688 0.2688 0.1936  3 Fe 2.09
C2 0.7312 0.7312 0.8064  3 Fe 2.09
Fe1 0.0000 0.0000 0.0000  6 C 2.09

Entry 5:
Material: NpFeC2
Method: DFT, GGA-PBE
State: relaxed

Summary:
energy = -9.777 eV/atom
DFT formation energy = 185 meV/atom
space group = No. 63
N(E_F) = 0.86 states/eV per atom

Cell lengths 3.3563, 5.6514, 4.5846 Å; angles 90.00, 90.00, 107.27 degrees
Last column: nearest neighbours and their distance in Å.
Atoms (fractional coordinates):
Fe1 0.2401 0.4802 0.2500  6 C 2.07-2.15
Fe2 0.7599 0.5198 0.7500  6 C 2.07-2.15
C1 0.3653 0.7306 0.5927  1 C 1.44
C2 0.6347 0.2694 0.4073  1 C 1.44
C3 0.6347 0.2694 0.0927  1 C 1.44
C4 0.3653 0.7306 0.9073  1 C 1.44
Np1 0.0404 0.0808 0.7500  2 Np 2.45, 8 C 2.51-2.63
Np2 0.9596 0.9192 0.2500  2 Np 2.45, 8 C 2.51-2.63

Entry 6:
Material: NpFeC
Method: DFT, GGA-PBE
State: relaxed

Summary:
energy = -9.730 eV/atom
energy above the lowest structure with this stoichiometry = 1.05 eV per formula unit
DFT formation energy = 479 meV/atom
space group = No. 107
N(E_F) = 1.40 states/eV per atom

Cell lengths 2.6070, 2.6070, 5.4926 Å; angles 103.73, 103.73, 90.00 degrees
Last column: nearest neighbours and their distance in Å.
Atoms (fractional coordinates):
Fe1 0.2797 0.2797 0.5593  4 C 1.99
C1 0.7079 0.7079 0.4158  4 Fe 1.99
Np1 0.0124 0.0124 0.0249  4 Np 2.61, 4 C 2.74, 1 Fe 2.77

Entry 7:
Material: NpFeC
Method: DFT, GGA-PBE
State: relaxed

Summary:
energy = -10.080 eV/atom
energy above the lowest structure with this stoichiometry = 0.00 eV per formula unit
DFT formation energy = 129 meV/atom
space group = No. 12
N(E_F) = 1.67 states/eV per atom

Cell lengths 3.6502, 5.0604, 4.6786 Å; angles 92.67, 112.96, 90.00 degrees
Last column: nearest neighbours and their distance in Å.
Atoms (fractional coordinates):
Fe1 0.3474 0.0822 0.6947  3 C 1.97-2.00
Fe2 0.6526 0.9178 0.3053  3 C 1.97-2.00
Np1 0.1007 0.3225 0.2015  4 C 2.42-2.67, 1 Fe 2.50, 1 Np 2.56
Np2 0.8993 0.6775 0.7985  4 C 2.42-2.67, 1 Fe 2.50, 1 Np 2.56
C1 0.1848 0.7853 0.3696  3 Fe 1.97-2.00
C2 0.8152 0.2147 0.6304  3 Fe 1.97-2.00

Entry 8:
Material: NpFeC
Method: DFT, GGA-PBE
State: relaxed

Summary:
energy = -10.076 eV/atom
energy above the lowest structure with this stoichiometry = 0.01 eV per formula unit
DFT formation energy = 133 meV/atom
space group = No. 156
N(E_F) = 1.39 states/eV per atom

Cell lengths 3.4358, 3.5853, 3.5853 Å; angles 120.00, 90.00, 90.00 degrees
Last column: nearest neighbours and their distance in Å.
Atoms (fractional coordinates):
Np1 0.6621 0.3333 0.6667  6 C 2.62-2.76, 6 Fe 2.65-2.73
Fe1 0.1443 0.0000 0.0000  3 C 2.08
C1 0.1936 0.6667 0.3333  3 Fe 2.08

Entry 9:
Material: Np2FeC2
Method: DFT, GGA-PBE
State: relaxed

Summary:
energy = -10.561 eV/atom
DFT formation energy = -3 meV/atom
space group = No. 12
N(E_F) = 1.64 states/eV per atom

Cell lengths 4.9853, 5.7815, 5.9948 Å; angles 60.85, 65.43, 64.46 degrees
Last column: nearest neighbours and their distance in Å.
Atoms (fractional coordinates):
Np1 0.7018 0.2643 0.3322  5 C 2.28-2.54
Np2 0.2982 0.7357 0.6678  5 C 2.28-2.54
Np3 0.0534 0.7316 0.1616  4 C 2.27-2.54
Np4 0.9466 0.2684 0.8384  4 C 2.27-2.54
C1 0.8369 0.7582 0.5680  1 Fe 1.90
C2 0.1631 0.2418 0.4320  1 Fe 1.90
C3 0.4975 0.2489 0.7562  2 Fe 1.89-1.90
C4 0.5025 0.7511 0.2438  2 Fe 1.89-1.90
Fe1 0.3641 0.1414 0.1304  3 C 1.89-1.90
Fe2 0.6359 0.8586 0.8696  3 C 1.89-1.90

Entry 10:
Material: Np2Fe2P2C
Method: DFT, GGA-PBE
State: relaxed

Summary:
energy = -9.565 eV/atom
DFT formation energy = -587 meV/atom
space group = No. 12
N(E_F) = 1.96 states/eV per atom

Cell lengths 3.7551, 5.5444, 6.2797 Å; angles 59.23, 90.00, 70.21 degrees
Last column: nearest neighbours and their distance in Å.
Atoms (fractional coordinates):
Np1 0.5495 0.9009 0.3062  2 C 2.53, 1 P 2.82
Np2 0.4505 0.0991 0.6938  2 C 2.53, 1 P 2.82
P1 0.8107 0.3785 0.2796  3 Fe 2.21-2.23
P2 0.1893 0.6215 0.7204  3 Fe 2.21-2.23
C1 0.0000 0.0000 0.0000  2 Fe 1.82
Fe1 0.1959 0.6081 0.0819  1 C 1.82
Fe2 0.8041 0.3919 0.9181  1 C 1.82

Entry 11:
Material: NpFe2SiC
Method: DFT, GGA-PBE
State: relaxed

Summary:
energy = -9.183 eV/atom
space group = No. 63
N(E_F) = 1.91 states/eV per atom

Cell lengths 3.7154, 5.6205, 6.6269 Å; angles 90.00, 90.00, 109.30 degrees
Last column: nearest neighbours and their distance in Å.
Atoms (fractional coordinates):
C1 0.0000 0.0000 0.5000  2 Fe 1.80
C2 0.0000 0.0000 0.0000  2 Fe 1.80
Si1 0.2759 0.5517 0.2500  6 Fe 2.34
Si2 0.7241 0.4483 0.7500  6 Fe 2.34
Fe1 0.1656 0.3312 0.9435  1 C 1.80
Fe2 0.8344 0.6688 0.4435  1 C 1.80
Fe3 0.1656 0.3312 0.5565  1 C 1.80
Fe4 0.8344 0.6688 0.0565  1 C 1.80
Np1 0.4450 0.8899 0.7500  4 C 2.56
Np2 0.5550 0.1101 0.2500  4 C 2.56